A relaxed RbRe3C crystal. Source: Alexandria, functional GGA-PBE.

magnetic moment	0.385	μB per atom
calculated volume	103	Å³/f.u.
D(E_F)	7.58	states/eV/cell

Unit cell a=4.6853 b=4.6853 c=4.6853 alpha=90.00 beta=90.00 gamma=90.00
Space group Pm-3m (No. 221)
Asymmetric unit:
Rb: 0.0000 0.0000 0.0000
Re: 0.0000 0.0000 0.5000
C: 0.5000 0.5000 0.5000

---

A relaxed RbReC3 crystal. Source: Alexandria, functional GGA-PBE.

magnetic moment	0.311	μB per atom
calculated volume	72	Å³/f.u.
D(E_F)	3.11	states/eV/cell

Unit cell a=4.1616 b=4.1616 c=4.1616 alpha=90.00 beta=90.00 gamma=90.00
Space group Pm-3m (No. 221)
Asymmetric unit:
Rb: 0.0000 0.0000 0.0000
Re: 0.5000 0.5000 0.5000
C: 0.0000 0.5000 0.5000

---

A relaxed RbReC3 crystal. Source: Alexandria, functional GGA-PBE.

magnetic moment	0.000	μB per atom
calculated volume	68	Å³/f.u.
D(E_F)	3.77	states/eV/cell

Unit cell a=4.0867 b=4.0867 c=4.0867 alpha=90.00 beta=90.00 gamma=90.00
Space group Pm-3m (No. 221)
Asymmetric unit:
Rb: 0.0000 0.0000 0.0000
Re: 0.5000 0.5000 0.5000
C: 0.0000 0.0000 0.5000

---

no.,ΔH_f (0 K) (eV/f.u.)
1,27.4
2,7.5
3,24.5